1.
K2BaTc: relaxed, GGA-PBE.

The calculation puts the excess energy over the best structure of this formula in the dataset at 0.1769 eV/atom. The formation energy comes out at 1.051 eV/atom. For the final energy, the calculation gives -2.5701 eV/atom. The calculation puts the density at 3.1 g/cm3.

The space group is I4/mmm (No. 139) and the conventional cell measures 5.049, 5.049 and 13.274 Å, with angles of 90.00, 90.00 and 90.00 degrees. Symmetry generates all atoms from K at (0.000, 0.500, 0.250), Ba at (0.000, 0.000, 0.000) and Tc at (0.000, 0.000, 0.500).



2.
Tb2BIr2: relaxed, GGA-PBE.

The formation energy comes out at -0.657 eV/atom. For the final energy, the calculation gives -7.3892 eV/atom. The calculation puts the density at 12.0 g/cm3.

The space group is Ibam (No. 72) and the conventional cell measures 5.880, 11.379 and 5.883 Å, with angles of 90.00, 90.00 and 90.00 degrees. Symmetry generates all atoms from Tb at (0.178, 0.141, 0.000), B at (0.000, 0.500, 0.250) and Ir at (0.172, 0.398, 0.000).



3.
La2PmPr5Nd: relaxed, GGA-PBE.

The formation energy comes out at 0.229 eV/atom. For the final energy, the calculation gives -4.5792 eV/atom. The calculation puts the density at 6.5 g/cm3.

The space group is I4/mcm (No. 140) and the conventional cell measures 8.866, 8.866 and 16.544 Å, with angles of 90.00, 90.00 and 90.00 degrees. Symmetry generates all atoms from La at (0.120, 0.380, 0.000), Pm at (0.000, 0.000, 0.250), Pr at (0.000, 0.000, 0.000), Pr at (0.214, 0.286, 0.358) and Nd at (0.000, 0.500, 0.250).



4.
TlCrBi2: relaxed, GGA-PBE.

The calculation puts the excess energy over the best structure of this formula in the dataset at 0.0778 eV/atom. The formation energy comes out at 0.507 eV/atom. For the final energy, the calculation gives -4.4304 eV/atom. The calculation puts the density at 7.6 g/cm3.

The space group is I-42d (No. 122) and the conventional cell measures 6.367, 6.367 and 14.494 Å, with angles of 90.00, 90.00 and 90.00 degrees. Symmetry generates all atoms from Tl at (0.000, 0.000, 0.000), Cr at (0.000, 0.000, 0.500) and Bi at (0.195, 0.250, 0.625).



5.
AcAu3: relaxed, GGA-PBE.

The formation energy comes out at -0.533 eV/atom. For the final energy, the calculation gives -4.0186 eV/atom. The calculation puts the density at 13.4 g/cm3.

The space group is P4mm (No. 99) and the conventional cell measures 4.118, 4.118 and 5.976 Å, with angles of 90.00, 90.00 and 90.00 degrees. Symmetry generates all atoms from Ac at (0.000, 0.000, 0.000), Au at (0.000, 0.500, 0.578) and Au at (0.500, 0.500, 0.232).



6.
SrScGa: relaxed, GGA-PBE.

The calculation puts the excess energy over the best structure of this formula in the dataset at 0.2115 eV/atom. The formation energy comes out at -0.174 eV/atom. For the final energy, the calculation gives -3.8546 eV/atom. The calculation puts the density at 3.9 g/cm3.

The space group is Cm (No. 8) and the conventional cell measures 13.089, 4.331 and 6.140 Å, with angles of 90.00, 93.90 and 90.00 degrees. Symmetry generates all atoms from Sr at (0.000, 0.000, 0.000), Sr at (0.087, 0.500, 0.515), Sc at (0.226, 0.500, 0.046), Sc at (0.312, 0.000, 0.725), Ga at (0.327, 0.000, 0.239) and Ga at (0.370, 0.500, 0.477).



7.
NdSc2IO8: relaxed, GGA-PBE.

For the final energy, the calculation gives -7.1228 eV/atom. The energy relative to the elements, uncorrected is -2.236 eV/atom. The calculation puts the density at 5.0 g/cm3.

The space group is Cmmm (No. 65) and the conventional cell measures 6.813, 6.991 and 6.757 Å, with angles of 90.00, 90.00 and 90.00 degrees. Symmetry generates all atoms from Nd at (0.000, 0.000, 0.000), Sc at (0.000, 0.500, 0.241), I at (0.000, 0.000, 0.500), O at (0.000, 0.272, 0.500), O at (0.000, 0.325, 0.000) and O at (0.193, 0.000, 0.295).



8.
NbGaFe2Si: relaxed, GGA-PBE.

For the final energy, the calculation gives -5.6461 eV/atom. The energy relative to the elements, uncorrected is 1.443 eV/atom. The calculation puts the density at 4.8 g/cm3.

The space group is P4/mmm (No. 123) and the conventional cell measures 4.543, 4.543 and 5.026 Å, with angles of 90.00, 90.00 and 90.00 degrees. Symmetry generates all atoms from Nb at (0.000, 0.000, 0.000), Ga at (0.000, 0.000, 0.500), Fe at (0.000, 0.500, 0.000) and Si at (0.500, 0.500, 0.500).



What is the final energy in the eighth record?
-5.6461 eV/atom



Among the records above, which one has the highest final energy?
K2BaTc



Repeat the seventh record exactly.
NdSc2IO8: relaxed, GGA-PBE.

For the final energy, the calculation gives -7.1228 eV/atom. The energy relative to the elements, uncorrected is -2.236 eV/atom. The calculation puts the density at 5.0 g/cm3.

The space group is Cmmm (No. 65) and the conventional cell measures 6.813, 6.991 and 6.757 Å, with angles of 90.00, 90.00 and 90.00 degrees. Symmetry generates all atoms from Nd at (0.000, 0.000, 0.000), Sc at (0.000, 0.500, 0.241), I at (0.000, 0.000, 0.500), O at (0.000, 0.272, 0.500), O at (0.000, 0.325, 0.000) and O at (0.193, 0.000, 0.295).



What is the formula in the eighth record?
NbGaFe2Si